Here is crystalline MnFeGeRh at its relaxed geometry from the Alexandria database. Energies are from PBE-GGA.

**Crystal system**: cubic
**V**: 205.1 Å³ per cell
**DFT formation energy**: -229 meV/atom
**Space group**: No. 216

Cell: 5.8977 5.8977 5.8977 Å, 90.00 90.00 90.00°
Element x y z (fractional)
Mn 0.0000 0.0000 0.0000
Mn 0.0000 0.5000 0.5000
Mn 0.5000 0.0000 0.5000
Mn 0.5000 0.5000 0.0000
Fe 0.2500 0.2500 0.2500
Fe 0.2500 0.7500 0.7500
Fe 0.7500 0.2500 0.7500
Fe 0.7500 0.7500 0.2500
Ge 0.0000 0.0000 0.5000
Ge 0.0000 0.5000 0.0000
Ge 0.5000 0.0000 0.0000
Ge 0.5000 0.5000 0.5000
Rh 0.2500 0.2500 0.7500
Rh 0.2500 0.7500 0.2500
Rh 0.7500 0.2500 0.2500
Rh 0.7500 0.7500 0.7500